Record 1
Compound: LiCo4Cu
Source: the Alexandria database
Functional: PBE-GGA
Structure: relaxed

Unit cell a=4.704 b=4.704 c=4.704 alpha=60.00 beta=60.00 gamma=60.00
Positions (direct):
Li 0.000 0.000 0.000
Co 0.375 0.375 0.375
Co 0.375 0.375 0.875
Co 0.375 0.875 0.375
Co 0.875 0.375 0.375
Cu 0.750 0.750 0.750

Output
E_tot: -5.519 eV per atom
Calculated density: 6.91 g/cm3
DOS at the Fermi energy: 5.89 states/eV/f.u.
Magnetic moment: 1.127 μB/atom

Record 2
Compound: Tm3GaSn2
Source: the Alexandria database
Functional: PBE-GGA
Structure: relaxed

Unit cell a=12.078 b=4.382 c=11.600 alpha=90.00 beta=90.00 gamma=90.00
Positions (direct):
Tm 0.049 0.250 0.122
Tm 0.127 0.750 0.558
Tm 0.222 0.250 0.795
Tm 0.278 0.750 0.295
Tm 0.373 0.250 0.058
Tm 0.451 0.750 0.622
Tm 0.549 0.250 0.378
Tm 0.627 0.750 0.942
Tm 0.722 0.250 0.705
Tm 0.778 0.750 0.205
Tm 0.873 0.250 0.442
Tm 0.951 0.750 0.878
Ga 0.133 0.250 0.365
Ga 0.367 0.750 0.865
Ga 0.633 0.250 0.135
Ga 0.867 0.750 0.635
Sn 0.004 0.750 0.310
Sn 0.186 0.750 0.008
Sn 0.314 0.250 0.508
Sn 0.496 0.250 0.810
Sn 0.504 0.750 0.190
Sn 0.686 0.750 0.492
Sn 0.814 0.250 0.992
Sn 0.996 0.250 0.690

Output
E_tot: -4.671 eV per atom
Calculated density: 8.81 g/cm3
Energy relative to the lowest polymorph listed for this composition: 0.000 kcal/mol of atoms
DOS at the Fermi energy: 3.36 states/eV/f.u.
Magnetic moment: 0.000 μB/atom

Record 3
Compound: Tb2Nd6Ho3Mg
Source: the Alexandria database
Functional: PBE-GGA
Structure: relaxed

Unit cell a=6.237 b=6.237 c=11.799 alpha=95.07 beta=95.07 gamma=120.04
Positions (direct):
Tb 0.167 0.833 0.000
Tb 0.833 0.167 0.000
Nd 0.086 0.418 0.750
Nd 0.250 0.250 0.251
Nd 0.418 0.086 0.750
Nd 0.582 0.914 0.250
Nd 0.750 0.750 0.749
Nd 0.914 0.582 0.250
Ho 0.000 0.000 0.500
Ho 0.334 0.666 0.500
Ho 0.666 0.334 0.500
Mg 0.500 0.500 0.000

Output
E_tot: -4.415 eV per atom
Calculated density: 7.23 g/cm3
DOS at the Fermi energy: 12.28 states/eV/f.u.
Magnetic moment: 0.000 μB/atom

Record 4
Compound: Zn2CdCu
Source: the Alexandria database
Functional: PBE-GGA
Structure: relaxed

Unit cell a=3.226 b=3.226 c=6.080 alpha=90.00 beta=90.00 gamma=90.00
Positions (direct):
Zn 0.000 0.000 0.000
Zn 0.500 0.500 0.238
Cd 0.000 0.000 0.527
Cu 0.500 0.500 0.801

Output
E_tot: -1.847 eV per atom
Calculated density: 8.05 g/cm3
DOS at the Fermi energy: 1.37 states/eV/f.u.
Magnetic moment: 0.000 μB/atom

Record 5
Compound: NbSiTe2Rh
Source: the Alexandria database
Functional: PBE-GGA
Structure: relaxed

Unit cell a=5.356 b=5.356 c=4.796 alpha=90.00 beta=90.00 gamma=90.00
Positions (direct):
Nb 0.000 0.000 0.000
Si 0.500 0.500 0.500
Te 0.000 0.500 0.000
Te 0.500 0.000 0.000
Rh 0.000 0.000 0.500

Output
E_tot: -4.983 eV per atom
Calculated density: 5.78 g/cm3
DOS at the Fermi energy: 4.30 states/eV/f.u.
Raw formation energy: 843 meV/atom
Magnetic moment: 0.000 μB/atom

Record 6
Compound: In2CoAs
Source: the Alexandria database
Functional: PBE-GGA
Structure: relaxed

Unit cell a=4.106 b=3.842 c=5.334 alpha=90.00 beta=112.58 gamma=90.00
Positions (direct):
In 0.000 0.000 0.000
In 0.303 0.500 0.603
Co 0.572 0.500 0.148
As 0.712 0.000 0.422

Output
E_tot: -4.259 eV per atom
Calculated density: 7.77 g/cm3
DOS at the Fermi energy: 2.27 states/eV/f.u.
Magnetic moment: 0.000 μB/atom

Record 7
Compound: ScBeAg
Source: the Alexandria database
Functional: PBE-GGA
Structure: relaxed

Unit cell a=4.269 b=4.269 c=3.190 alpha=90.00 beta=90.00 gamma=120.00
Positions (direct):
Sc 0.000 0.000 0.000
Be 0.667 0.333 0.500
Ag 0.333 0.667 0.500

Output
E_tot: -4.359 eV per atom
Calculated density: 5.34 g/cm3
Energy relative to the lowest polymorph listed for this composition: 0.438 kcal/mol of atoms
DOS at the Fermi energy: 3.46 states/eV/f.u.
Magnetic moment: 0.000 μB/atom

Record 8
Compound: SrCd2F7
Source: the Alexandria database
Functional: PBE-GGA
Structure: relaxed

Unit cell a=9.334 b=9.334 c=9.334 alpha=155.90 beta=155.90 gamma=34.34
Positions (direct):
Sr 0.000 0.000 0.000
Cd 0.328 0.328 0.000
Cd 0.672 0.672 0.000
F 0.099 0.599 0.500
F 0.250 0.750 0.500
F 0.401 0.901 0.500
F 0.500 0.500 0.000
F 0.599 0.099 0.500
F 0.750 0.250 0.500
F 0.901 0.401 0.500

Output
E_tot: -4.110 eV per atom
Calculated density: 5.46 g/cm3
Energy relative to the lowest polymorph listed for this composition: 0.000 kcal/mol of atoms
DOS at the Fermi energy: 8.93 states/eV/f.u.
Raw formation energy: -2449 meV/atom
Magnetic moment: 0.109 μB/atom